The following is a PBE-GGA calculation of an optimized crystal structure of ZrPbBr2, from Alexandria via LeMat-Bulk.

The total energy is -4.26 eV/atom. The distance to the lowest polymorph of the same formula is 413 meV/atom. The calculation puts the volume at 232.9 Å³ per cell. Its crystal system is orthorhombic. For the uncorrected formation energy, the calculation gives -360 meV per atom.

It has space group Cmm2 (No. 35), with a = 3.6032 Å, b = 6.2758 Å, c = 10.3016 Å, α = 90.00°, β = 90.00° and γ = 90.00°. The distinct sites, in fractional coordinates, are Zr at (0.0000, 0.0000, 0.0000), Pb at (0.0000, 0.5000, 0.7604), Br at (0.0000, 0.0000, 0.5368) and Br at (0.0000, 0.5000, 0.1957).